[1]
{
  "formula": "NaZrIN2",
  "functional": "PBE",
  "state": "relaxed",
  "cell": [[4.2352, 0.0000, 0.0000], [0.0000, 4.2352, 0.0000], [0.0000, 0.0000, 6.2087]],
  "species": ["Na", "Zr", "I", "N", "N"],
  "fractional_positions": [[0.0000, 0.0000, 0.0000], [0.5000, 0.5000, 0.5000], [0.5000, 0.5000, 0.0000], [0.0000, 0.5000, 0.5000], [0.5000, 0.0000, 0.5000]],
  "e_form_raw_ev_per_fu": -0.48,
  "dos_ef_per_ev_cell": 2.82,
  "e_above_lowest_polymorph_ev_per_atom": 0.000
}

=====

[2]
{
  "formula": "NaZrIN2",
  "functional": "PBE",
  "state": "relaxed",
  "cell": [[4.3551, 0.0000, 0.0000], [0.0000, 4.3551, 0.0000], [0.0000, 0.0000, 5.1537]],
  "species": ["Na", "Zr", "I", "N", "N"],
  "fractional_positions": [[0.0000, 0.0000, 0.0000], [0.5000, 0.5000, 0.5000], [0.0000, 0.0000, 0.5000], [0.0000, 0.5000, 0.0000], [0.5000, 0.0000, 0.0000]],
  "e_form_raw_ev_per_fu": 8.22,
  "dos_ef_per_ev_cell": 2.15,
  "e_above_lowest_polymorph_ev_per_atom": 1.740
}

=====

[3]
{
  "formula": "Nb2IN",
  "functional": "PBE",
  "state": "relaxed",
  "cell": [[6.3916, 0.0000, 0.0000], [0.0000, 6.3916, 0.0000], [0.0000, 0.0000, 6.3916]],
  "species": ["Nb", "Nb", "Nb", "Nb", "Nb", "Nb", "Nb", "Nb", "I", "I", "I", "I", "N", "N", "N", "N"],
  "fractional_positions": [[0.2500, 0.2500, 0.2500], [0.2500, 0.2500, 0.7500], [0.2500, 0.7500, 0.2500], [0.2500, 0.7500, 0.7500], [0.7500, 0.2500, 0.2500], [0.7500, 0.2500, 0.7500], [0.7500, 0.7500, 0.2500], [0.7500, 0.7500, 0.7500], [0.0000, 0.0000, 0.0000], [0.0000, 0.5000, 0.5000], [0.5000, 0.0000, 0.5000], [0.5000, 0.5000, 0.0000], [0.0000, 0.0000, 0.5000], [0.0000, 0.5000, 0.0000], [0.5000, 0.0000, 0.0000], [0.5000, 0.5000, 0.5000]],
  "e_form_raw_ev_per_fu": 3.68,
  "dos_ef_per_ev_cell": 12.62
}

=====

[4]
{
  "formula": "NbI2N2",
  "functional": "PBE",
  "state": "relaxed",
  "cell": [[4.2136, 0.0000, 0.0000], [0.0000, 4.2136, 0.0000], [0.0000, 0.0000, 6.1377]],
  "species": ["Nb", "I", "I", "N", "N"],
  "fractional_positions": [[0.0000, 0.0000, 0.0000], [0.0000, 0.0000, 0.5000], [0.5000, 0.5000, 0.5000], [0.0000, 0.5000, 0.0000], [0.5000, 0.0000, 0.0000]],
  "e_form_raw_ev_per_fu": 3.57,
  "dos_ef_per_ev_cell": 1.90,
  "e_above_lowest_polymorph_ev_per_atom": 0.000
}

=====

[5]
{
  "formula": "Nb2IN",
  "functional": "PBE",
  "state": "relaxed",
  "cell": [[5.3845, 0.0000, 0.0000], [0.0000, 5.3845, 0.0000], [0.0000, 0.0000, 11.5127]],
  "species": ["Nb", "Nb", "Nb", "Nb", "Nb", "Nb", "Nb", "Nb", "I", "I", "I", "I", "N", "N", "N", "N"],
  "fractional_positions": [[0.1114, 0.2500, 0.1250], [0.2500, 0.6114, 0.3750], [0.2500, 0.8886, 0.8750], [0.3886, 0.2500, 0.6250], [0.6114, 0.7500, 0.6250], [0.7500, 0.1114, 0.8750], [0.7500, 0.3886, 0.3750], [0.8886, 0.7500, 0.1250], [0.0000, 0.0000, 0.5000], [0.0000, 0.5000, 0.7500], [0.5000, 0.0000, 0.2500], [0.5000, 0.5000, 0.0000], [0.0000, 0.0000, 0.0000], [0.0000, 0.5000, 0.2500], [0.5000, 0.0000, 0.7500], [0.5000, 0.5000, 0.5000]],
  "e_form_raw_ev_per_fu": 0.50,
  "dos_ef_per_ev_cell": 16.55
}

=====

[6]
{
  "formula": "Nb3I7N",
  "functional": "PBE",
  "state": "relaxed",
  "cell": [[7.6625, 0.0000, 0.0000], [-3.8312, 6.6359, 0.0000], [0.0000, 0.0000, 7.4720]],
  "species": ["Nb", "Nb", "Nb", "I", "I", "I", "I", "I", "I", "I", "N"],
  "fractional_positions": [[0.0747, 0.5373, 0.0000], [0.4627, 0.5373, 0.0000], [0.4627, 0.9253, 0.0000], [0.1643, 0.3287, 0.7474], [0.1643, 0.8357, 0.7474], [0.3293, 0.1646, 0.2139], [0.6667, 0.3333, 0.8019], [0.6713, 0.8357, 0.7474], [0.8354, 0.1646, 0.2139], [0.8354, 0.6707, 0.2139], [0.3333, 0.6667, 0.1438]],
  "e_form_raw_ev_per_fu": -4.71,
  "dos_ef_per_ev_cell": 11.90
}

=====

[7]
{
  "formula": "NbI3N",
  "functional": "PBE",
  "state": "relaxed",
  "cell": [[4.9993, 0.0000, 0.0000], [0.0000, 4.9993, 0.0000], [0.0000, 0.0000, 4.9993]],
  "species": ["Nb", "I", "I", "I", "N"],
  "fractional_positions": [[0.0000, 0.0000, 0.0000], [0.0000, 0.5000, 0.5000], [0.5000, 0.0000, 0.5000], [0.5000, 0.5000, 0.0000], [0.5000, 0.5000, 0.5000]],
  "e_form_raw_ev_per_fu": 6.66,
  "dos_ef_per_ev_cell": 3.60
}

=====

[8]
{
  "formula": "NbI2N2",
  "functional": "PBE",
  "state": "relaxed",
  "cell": [[5.7273, 0.0000, 0.0000], [0.0000, 5.7273, 0.0000], [0.0000, 0.0000, 3.9264]],
  "species": ["Nb", "I", "I", "N", "N"],
  "fractional_positions": [[0.0000, 0.0000, 0.0000], [0.0000, 0.5000, 0.0000], [0.5000, 0.0000, 0.0000], [0.0000, 0.0000, 0.5000], [0.5000, 0.5000, 0.5000]],
  "e_form_raw_ev_per_fu": 4.90,
  "dos_ef_per_ev_cell": 1.56,
  "e_above_lowest_polymorph_ev_per_atom": 0.267
}